(1)
Ta2TeCl | SCAN | single point on PBEsol structure

Geometry as POSCAR:
```
Ta2TeCl
1.0
3.336 0.000 0.000
-1.668 4.434 -0.015
0.000 -1.301 5.103
Cl Te Ta
1 1 2
direct
0.731 0.462 0.119 Cl
0.505 0.009 0.525 Te
0.003 0.006 0.079 Ta
0.261 0.522 0.777 Ta
```

Output
formation energy from raw total energies: 0.7 eV per formula unit
theoretical density: 11.56 Mg/m³
energy relative to the lowest polymorph listed for this composition: 0.11 eV/f.u.
electronic total energy: -44.413 eV per atom
SG: Cm (8)

=====

(2)
TaTeCl2 | SCAN | single point on PBEsol structure

Geometry as POSCAR:
```
TaTeCl2
1.0
-1.754 2.418 0.387
-1.465 -0.655 -2.549
-6.125 -5.221 4.862
Cl Te Ta
2 1 1
direct
0.000 0.000 0.840 Cl
0.000 0.000 0.160 Cl
0.500 0.500 0.500 Te
0.500 0.500 0.000 Ta
```

Output
formation energy from raw total energies: -1.6 eV per formula unit
theoretical density: 7.39 Mg/m³
energy relative to the lowest polymorph listed for this composition: 0.81 eV/f.u.
electronic total energy: -30.344 eV per atom
SG: P4/mmm (123)

=====

(3)
Ta2TeCl | SCAN | single point on PBEsol structure

Geometry as POSCAR:
```
Ta2TeCl
1.0
-0.496 -2.598 -1.310
5.469 0.017 0.371
-2.298 -0.792 4.914
Cl Te Ta
1 1 2
direct
0.000 0.500 0.500 Cl
0.000 0.000 0.000 Te
0.000 0.500 0.000 Ta
0.000 0.000 0.500 Ta
```

Output
formation energy from raw total energies: 2.0 eV per formula unit
theoretical density: 11.25 Mg/m³
energy relative to the lowest polymorph listed for this composition: 1.34 eV/f.u.
electronic total energy: -44.106 eV per atom
SG: C2/m (12)

=====

(4)
TaTeCl2 | SCAN | single point on PBEsol structure

Geometry as POSCAR:
```
TaTeCl2
1.0
-1.894 0.375 -2.454
3.789 -0.952 -3.071
-1.117 -4.840 0.123
Cl Te Ta
2 1 1
direct
0.000 0.000 0.500 Cl
0.000 0.500 0.000 Cl
0.500 0.000 0.000 Te
0.500 0.500 0.500 Ta
```

Output
formation energy from raw total energies: 3.1 eV per formula unit
theoretical density: 8.17 Mg/m³
energy relative to the lowest polymorph listed for this composition: 5.49 eV/f.u.
electronic total energy: -29.173 eV per atom
SG: P4/mmm (123)

=====

(5)
TaTe2Cl | SCAN | single point on PBEsol structure

Geometry as POSCAR:
```
TaTe2Cl
1.0
-3.345 0.498 0.485
0.642 -0.466 4.908
0.784 4.909 0.364
Cl Te Ta
1 2 1
direct
0.500 0.000 0.500 Cl
0.000 0.000 0.000 Te
0.500 0.500 0.000 Te
0.000 0.500 0.500 Ta
```

Output
formation energy from raw total energies: 2.6 eV per formula unit
theoretical density: 9.25 Mg/m³
energy relative to the lowest polymorph listed for this composition: 3.91 eV/f.u.
electronic total energy: -36.627 eV per atom
SG: Pmmm (47)

=====

(6)
TaTeCl2 | SCAN | single point on PBEsol structure

Geometry as POSCAR:
```
TaTeCl2
1.0
3.115 0.000 0.000
1.557 2.697 0.000
1.557 0.899 10.585
Cl Te Ta
2 1 1
direct
0.222 0.222 0.333 Cl
0.778 0.778 0.667 Cl
0.000 0.000 0.000 Te
0.500 0.500 0.500 Ta
```

Output
formation energy from raw total energies: -2.4 eV per formula unit
theoretical density: 7.09 Mg/m³
energy relative to the lowest polymorph listed for this composition: 0.00 eV/f.u.
electronic total energy: -30.545 eV per atom
SG: R-3m (166)